Entry 1:
Entry from Alexandria via LeMat-Bulk: Pm3Th5Sb8 after structural relaxation (PBE).

Lattice parameters (Å, degrees): 9.0072 9.0072 22.0214 90.00 90.00 120.00
Space group R-3m (No. 166, hexagonal axes)
Inequivalent atoms, fractional coordinates:
Pm 0.0000 0.5000 0.0000
Th 0.0000 0.0000 0.0000
Th 0.0000 0.0000 0.5000
Th 0.0000 0.5000 0.5000
Sb 0.0000 0.0000 0.2503
Sb 0.0007 0.5004 0.2503

Values from the calculation:
- N(E_F): 0.56 states/eV/atom
- ΔE_f (raw): -1.022 eV per atom
- Calculated density: 8.272 g/cm³

***

Entry 2:
Entry from Alexandria via LeMat-Bulk: Pm2Th2Sb5 after structural relaxation (PBE).

Lattice parameters (Å, degrees): 15.8852 8.3471 8.3783 90.00 90.00 90.00
Space group Cmce (No. 64)
Inequivalent atoms, fractional coordinates:
Pm 0.0000 0.1535 0.1559
Th 0.1931 0.0000 0.5000
Sb 0.0000 0.0000 0.5000
Sb 0.1403 0.1541 0.8479

Values from the calculation:
- N(E_F): 0.57 states/eV/atom
- ΔE_f (raw): -0.907 eV per atom
- Calculated density: 8.149 g/cm³